1.
Entry from the Alexandria database: a geometry-optimized CrFe4Se structure (PBE).

Theoretical density, g/cm³: 7.71
ΔE_f (raw), eV/atom: 0.45

Cell and atoms, written as CIF:
```
data_CrFe4Se
_space_group_name_H-M_alt 'F -4 3 m'
_space_group_IT_number 216
_space_group_name_Hall 'F -4 2 3'
_cell_length_a 6.7344
_cell_length_b 6.7344
_cell_length_c 6.7344
_cell_angle_alpha 90.00
_cell_angle_beta 90.00
_cell_angle_gamma 90.00
loop_
_atom_site_label
_atom_site_fract_x
_atom_site_fract_y
_atom_site_fract_z
Cr1 0.0000 0.0000 0.0000
Fe1 0.1260 0.1260 0.6260
Se1 0.2500 0.2500 0.2500
```

2.
Entry from the Alexandria database: a geometry-optimized CrFeSe3 structure (PBE).

Theoretical density, g/cm³: 5.41
ΔE_f (raw), eV/atom: 0.65

Cell and atoms, written as CIF:
```
data_CrFeSe3
_space_group_name_H-M_alt 'P m -3 m'
_space_group_IT_number 221
_space_group_name_Hall '-P 4 2 3'
_cell_length_a 4.7308
_cell_length_b 4.7308
_cell_length_c 4.7308
_cell_angle_alpha 90.00
_cell_angle_beta 90.00
_cell_angle_gamma 90.00
loop_
_atom_site_label
_atom_site_fract_x
_atom_site_fract_y
_atom_site_fract_z
Cr1 0.0000 0.0000 0.0000
Fe1 0.5000 0.5000 0.5000
Se1 0.0000 0.0000 0.5000
```

3.
Entry from the Alexandria database: a geometry-optimized Cr2FeSe structure (PBE).

Theoretical density, g/cm³: 8.13
ΔE_f (raw), eV/atom: 0.34

Cell and atoms, written as CIF:
```
data_Cr2FeSe
_space_group_name_H-M_alt 'F -4 3 m'
_space_group_IT_number 216
_space_group_name_Hall 'F -4 2 3'
_cell_length_a 5.8005
_cell_length_b 5.8005
_cell_length_c 5.8005
_cell_angle_alpha 90.00
_cell_angle_beta 90.00
_cell_angle_gamma 90.00
loop_
_atom_site_label
_atom_site_fract_x
_atom_site_fract_y
_atom_site_fract_z
Cr1 0.0000 0.0000 0.0000
Cr2 0.2500 0.2500 0.2500
Fe1 0.2500 0.2500 0.7500
Se1 0.0000 0.0000 0.5000
```

4.
Entry from the Alexandria database: a geometry-optimized Cr3FeSe structure (PBE).

Theoretical density, g/cm³: 5.53
ΔE_f (raw), eV/atom: 0.97

Cell and atoms, written as CIF:
```
data_Cr3FeSe
_space_group_name_H-M_alt 'P m -3 m'
_space_group_IT_number 221
_space_group_name_Hall '-P 4 2 3'
_cell_length_a 4.4372
_cell_length_b 4.4372
_cell_length_c 4.4372
_cell_angle_alpha 90.00
_cell_angle_beta 90.00
_cell_angle_gamma 90.00
loop_
_atom_site_label
_atom_site_fract_x
_atom_site_fract_y
_atom_site_fract_z
Cr1 0.0000 0.0000 0.5000
Fe1 0.0000 0.0000 0.0000
Se1 0.5000 0.5000 0.5000
```

Please write out number 4 again, unchanged.
Entry from the Alexandria database: a geometry-optimized Cr3FeSe structure (PBE).

Theoretical density, g/cm³: 5.53
ΔE_f (raw), eV/atom: 0.97

Cell and atoms, written as CIF:
```
data_Cr3FeSe
_space_group_name_H-M_alt 'P m -3 m'
_space_group_IT_number 221
_space_group_name_Hall '-P 4 2 3'
_cell_length_a 4.4372
_cell_length_b 4.4372
_cell_length_c 4.4372
_cell_angle_alpha 90.00
_cell_angle_beta 90.00
_cell_angle_gamma 90.00
loop_
_atom_site_label
_atom_site_fract_x
_atom_site_fract_y
_atom_site_fract_z
Cr1 0.0000 0.0000 0.5000
Fe1 0.0000 0.0000 0.0000
Se1 0.5000 0.5000 0.5000
```